Record 1
A geometry-optimized PrSmSe2 structure, computed with PBE.

Properties
Total energy ... -5.9175 eV/atom
Relative energy among the computed polymorphs ... 31.6 meV/atom
E_form (uncorrected) ... -1.8006 eV/atom
N(E_F) ... 3.34 states/eV per cell

Cell: 4.1108 4.1108 22.0398 Å, 90.00 90.00 120.00°
With the nearest neighbours (Å) after each atom.
Fractional positions:
1 Pr 0.0000 0.0000 0.0000  6 Se 2.95-3.09
2 Pr 0.3333 0.6667 0.6667  6 Se 2.95-3.09
3 Pr 0.6667 0.3333 0.3333  6 Se 2.95-3.09
4 Sm 0.0000 0.0000 0.1771  6 Se 2.92-3.05
5 Sm 0.3333 0.6667 0.8438  6 Se 2.92-3.05
6 Sm 0.6667 0.3333 0.5105  6 Se 2.92-3.05
7 Se 0.0000 0.0000 0.4232  3 Sm 3.05, 3 Pr 3.09
8 Se 0.0000 0.0000 0.5874  3 Sm 2.92, 3 Pr 2.95
9 Se 0.3333 0.6667 0.0899  3 Sm 3.05, 3 Pr 3.09
10 Se 0.3333 0.6667 0.2540  3 Sm 2.92, 3 Pr 2.95
11 Se 0.6667 0.3333 0.7566  3 Sm 3.05, 3 Pr 3.09
12 Se 0.6667 0.3333 0.9207  3 Sm 2.92, 3 Pr 2.95

***

Record 2
A geometry-optimized CsNaHg structure, computed with PBE.

Properties
Energy of formation ... -0.151 eV per atom
Total energy ... -0.9759 eV/atom
Relative energy among the computed polymorphs ... 16.3 meV/atom
N(E_F) ... 0.55 states/eV per cell

Cell: 5.5702 5.5702 5.3101 Å, 90.00 90.00 120.00°
With the nearest neighbours (Å) after each atom.
Fractional positions:
1 Cs 0.0000 0.0000 0.0000  6 Hg 4.16-4.18, 6 Na 4.17
2 Na 0.3333 0.6667 0.4999  3 Hg 3.22
3 Hg 0.6667 0.3333 0.5017  3 Na 3.22

***

Record 3
A geometry-optimized In2AsH structure, computed with PBE.

Properties
Total energy ... -3.0598 eV/atom
Relative energy among the computed polymorphs ... 131.6 meV/atom
N(E_F) ... 2.97 states/eV per cell

Cell: 6.8143 6.8143 6.8143 Å, 90.00 90.00 90.00°
With the nearest neighbours (Å) after each atom.
Fractional positions:
1 In 0.2500 0.2500 0.2500  4 H 2.95, 4 As 2.95
2 In 0.2500 0.2500 0.7500  4 As 2.95, 4 H 2.95
3 In 0.2500 0.7500 0.2500  4 As 2.95, 4 H 2.95
4 In 0.2500 0.7500 0.7500  4 H 2.95, 4 As 2.95
5 In 0.7500 0.2500 0.2500  4 As 2.95, 4 H 2.95
6 In 0.7500 0.2500 0.7500  4 H 2.95, 4 As 2.95
7 In 0.7500 0.7500 0.2500  4 H 2.95, 4 As 2.95
8 In 0.7500 0.7500 0.7500  4 As 2.95, 4 H 2.95
9 As 0.0000 0.0000 0.0000  8 In 2.95
10 As 0.0000 0.5000 0.5000  8 In 2.95
11 As 0.5000 0.0000 0.5000  8 In 2.95
12 As 0.5000 0.5000 0.0000  8 In 2.95
13 H 0.0000 0.0000 0.5000  8 In 2.95
14 H 0.0000 0.5000 0.0000  8 In 2.95
15 H 0.5000 0.0000 0.0000  8 In 2.95
16 H 0.5000 0.5000 0.5000  8 In 2.95

***

Record 4
A geometry-optimized PuAlMoRu structure, computed with PBE.

Properties
Energy of formation ... -0.172 eV per atom
Total energy ... -9.7174 eV/atom
N(E_F) ... 26.38 states/eV per cell

Cell: 6.4391 6.4391 6.4391 Å, 90.00 90.00 90.00°
With the nearest neighbours (Å) after each atom.
Fractional positions:
1 Pu 0.0000 0.0000 0.0000  4 Mo 2.79, 4 Ru 2.79
2 Pu 0.0000 0.5000 0.5000  4 Mo 2.79, 4 Ru 2.79
3 Pu 0.5000 0.0000 0.5000  4 Mo 2.79, 4 Ru 2.79
4 Pu 0.5000 0.5000 0.0000  4 Mo 2.79, 4 Ru 2.79
5 Al 0.0000 0.0000 0.5000  4 Ru 2.79, 4 Mo 2.79
6 Al 0.0000 0.5000 0.0000  4 Ru 2.79, 4 Mo 2.79
7 Al 0.5000 0.0000 0.0000  4 Ru 2.79, 4 Mo 2.79
8 Al 0.5000 0.5000 0.5000  4 Ru 2.79, 4 Mo 2.79
9 Mo 0.2500 0.2500 0.7500  4 Al 2.79, 4 Pu 2.79
10 Mo 0.2500 0.7500 0.2500  4 Al 2.79, 4 Pu 2.79
11 Mo 0.7500 0.2500 0.2500  4 Al 2.79, 4 Pu 2.79
12 Mo 0.7500 0.7500 0.7500  4 Pu 2.79, 4 Al 2.79
13 Ru 0.2500 0.2500 0.2500  4 Al 2.79, 4 Pu 2.79
14 Ru 0.2500 0.7500 0.7500  4 Al 2.79, 4 Pu 2.79
15 Ru 0.7500 0.2500 0.7500  4 Al 2.79, 4 Pu 2.79
16 Ru 0.7500 0.7500 0.2500  4 Al 2.79, 4 Pu 2.79

***

Record 5
A geometry-optimized GdPuTlPb structure, computed with PBE.

Properties
Energy of formation ... -0.236 eV per atom
Total energy ... -8.8578 eV/atom
N(E_F) ... 46.77 states/eV per cell

Cell: 7.6951 7.6951 7.6951 Å, 90.00 90.00 90.00°
With the nearest neighbours (Å) after each atom.
Fractional positions:
1 Gd 0.0000 0.0000 0.0000  4 Tl 3.33, 4 Pb 3.33
2 Gd 0.0000 0.5000 0.5000  4 Tl 3.33, 4 Pb 3.33
3 Gd 0.5000 0.0000 0.5000  4 Tl 3.33, 4 Pb 3.33
4 Gd 0.5000 0.5000 0.0000  4 Tl 3.33, 4 Pb 3.33
5 Pu 0.0000 0.0000 0.5000  4 Tl 3.33, 4 Pb 3.33
6 Pu 0.0000 0.5000 0.0000  4 Tl 3.33, 4 Pb 3.33
7 Pu 0.5000 0.0000 0.0000  4 Tl 3.33, 4 Pb 3.33
8 Pu 0.5000 0.5000 0.5000  4 Tl 3.33, 4 Pb 3.33
9 Tl 0.2500 0.2500 0.2500  4 Gd 3.33, 4 Pu 3.33
10 Tl 0.2500 0.7500 0.7500  4 Gd 3.33, 4 Pu 3.33
11 Tl 0.7500 0.2500 0.7500  4 Gd 3.33, 4 Pu 3.33
12 Tl 0.7500 0.7500 0.2500  4 Gd 3.33, 4 Pu 3.33
13 Pb 0.2500 0.2500 0.7500  4 Gd 3.33, 4 Pu 3.33
14 Pb 0.2500 0.7500 0.2500  4 Gd 3.33, 4 Pu 3.33
15 Pb 0.7500 0.2500 0.2500  4 Gd 3.33, 4 Pu 3.33
16 Pb 0.7500 0.7500 0.7500  4 Gd 3.33, 4 Pu 3.33

***

Record 6
A geometry-optimized NbSiO2 structure, computed with PBE.

Properties
Total energy ... -7.6141 eV/atom
E_form (uncorrected) ... -1.2618 eV/atom
N(E_F) ... 3.20 states/eV per cell

Cell: 2.8001 2.8001 19.9913 Å, 90.00 90.00 120.00°
With the nearest neighbours (Å) after each atom.
Fractional positions:
1 Nb 0.0000 0.0000 0.0000  2 O 2.44
2 Nb 0.3333 0.6667 0.6667  2 O 2.44
3 Nb 0.6667 0.3333 0.3333  2 O 2.44
4 Si 0.0000 0.0000 0.5000  6 O 1.85
5 Si 0.3333 0.6667 0.1667  6 O 1.85
6 Si 0.6667 0.3333 0.8333  6 O 1.85
7 O 0.0000 0.0000 0.1219  3 Si 1.85
8 O 0.0000 0.0000 0.8781  3 Si 1.85
9 O 0.3333 0.6667 0.5448  3 Si 1.85
10 O 0.3333 0.6667 0.7885  3 Si 1.85
11 O 0.6667 0.3333 0.2115  3 Si 1.85
12 O 0.6667 0.3333 0.4552  3 Si 1.85

***

Record 7
A geometry-optimized CeDyHoN3 structure, computed with PBE.

Properties
Total energy ... -8.1057 eV/atom
E_form (uncorrected) ... -1.4240 eV/atom
N(E_F) ... 7.80 states/eV per cell

Cell: 6.0013 3.4574 9.0679 Å, 90.00 101.72 90.00°
With the nearest neighbours (Å) after each atom.
Fractional positions:
1 Ce 0.1554 0.2500 0.1958  7 N 2.53-2.68
2 Ce 0.8446 0.7500 0.8042  7 N 2.53-2.68
3 Dy 0.3546 0.2500 0.8610  5 N 2.30-2.49
4 Dy 0.6454 0.7500 0.1390  5 N 2.30-2.49
5 Ho 0.2704 0.7500 0.5449  4 N 2.33-2.43
6 Ho 0.7296 0.2500 0.4551  4 N 2.33-2.43
7 N 0.0380 0.2500 0.6695  1 Dy 2.30, 1 Ho 2.40, 2 Ce 2.53
8 N 0.2421 0.7500 0.0006  3 Dy 2.32-2.49
9 N 0.4619 0.7500 0.3457  3 Ho 2.33-2.43, 1 Dy 2.36
10 N 0.5381 0.2500 0.6543  3 Ho 2.33-2.43, 1 Dy 2.36
11 N 0.7579 0.2500 0.9994  3 Dy 2.32-2.49
12 N 0.9620 0.7500 0.3305  1 Dy 2.30, 1 Ho 2.40, 2 Ce 2.53

***

Record 8
A geometry-optimized CrAgHPb2 structure, computed with PBE.

Properties
Total energy ... -3.9058 eV/atom
N(E_F) ... 4.15 states/eV per cell

Cell: 5.0433 5.0433 3.5855 Å, 90.00 90.00 90.00°
With the nearest neighbours (Å) after each atom.
Fractional positions:
1 Cr 0.0000 0.0000 0.0000  8 Pb 3.09
2 Ag 0.5000 0.5000 0.0000  2 H 1.79
3 H 0.5000 0.5000 0.5000  2 Ag 1.79
4 Pb 0.0000 0.5000 0.5000  2 H 2.52
5 Pb 0.5000 0.0000 0.5000  2 H 2.52